A plane-wave DFT calculation with PBE+U was carried out for a relaxed K2NiAsO4 crystal.

```
K2NiAsO4
1.0
-3.867 4.346 -1.674
-4.583 -3.206 2.309
4.667 1.000 2.736
K Ni As O
2 1 1 4
Cartesian
-1.863 -0.081 4.116 K
0.209 0.741 1.441 K
-1.506 3.696 2.127 Ni
-4.016 1.311 1.759 As
-2.485 1.842 2.387 O
-4.326 2.134 0.261 O
-3.959 -0.408 1.515 O
3.156 0.538 2.244 O
```

Summary:
For the total energy, the calculation gives -5.00 eV/atom. The calculation puts the spin magnetization at 1.000 μB/f.u.